# MnSb2Te | the Alexandria database | PBE | optimized geometry
data_MnSb2Te
_cell_length_a 6.7522
_cell_length_b 8.0738
_cell_length_c 3.6887
_cell_angle_alpha 90.00
_cell_angle_beta 90.00
_cell_angle_gamma 90.00
_symmetry_space_group_name_H-M 'C m m m'
_symmetry_Int_Tables_number 65
_symmetry_space_group_name_Hall '-C 2 2'
loop_
_atom_site_label
_atom_site_type_symbol
_atom_site_fract_x
_atom_site_fract_y
_atom_site_fract_z
Mn1 Mn 0.0000 0.0000 0.0000
Sb1 Sb 0.2500 0.2500 0.5000
Te1 Te 0.0000 0.5000 0.0000
# - ΔE_f (raw) (eV/atom) = 0.392
# - volume (A^3/atom) = 25.14

***

# MnSb4Te | the Alexandria database | PBE | optimized geometry
data_MnSb4Te
_cell_length_a 8.8103
_cell_length_b 8.8103
_cell_length_c 8.8103
_cell_angle_alpha 90.00
_cell_angle_beta 90.00
_cell_angle_gamma 90.00
_symmetry_space_group_name_H-M 'F -4 3 m'
_symmetry_Int_Tables_number 216
_symmetry_space_group_name_Hall 'F -4 2 3'
loop_
_atom_site_label
_atom_site_type_symbol
_atom_site_fract_x
_atom_site_fract_y
_atom_site_fract_z
Mn1 Mn 0.0000 0.0000 0.0000
Sb1 Sb 0.1248 0.1248 0.6248
Te1 Te 0.2500 0.2500 0.2500
# - ΔE_f (raw) (eV/atom) = 0.552
# - volume (A^3/atom) = 28.49

***

# Mn2SbTe | the Alexandria database | PBE | optimized geometry
data_Mn2SbTe
_cell_length_a 6.9206
_cell_length_b 4.0020
_cell_length_c 6.9485
_cell_angle_alpha 90.00
_cell_angle_beta 109.57
_cell_angle_gamma 90.00
_symmetry_space_group_name_H-M 'C 1 2/m 1'
_symmetry_Int_Tables_number 12
_symmetry_space_group_name_Hall '-C 2y'
loop_
_atom_site_label
_atom_site_type_symbol
_atom_site_fract_x
_atom_site_fract_y
_atom_site_fract_z
Mn1 Mn 0.2482 0.0000 0.2442
Sb1 Sb 0.0000 0.5000 0.0000
Te1 Te 0.0000 0.0000 0.5000
# - ΔE_f (raw) (eV/atom) = 0.057
# - volume (A^3/atom) = 22.67

***

# Mn2SbTe | the Alexandria database | PBE | optimized geometry
data_Mn2SbTe
_cell_length_a 3.4251
_cell_length_b 3.4251
_cell_length_c 7.3692
_cell_angle_alpha 90.00
_cell_angle_beta 90.00
_cell_angle_gamma 90.00
_symmetry_space_group_name_H-M 'P 4 m m'
_symmetry_Int_Tables_number 99
_symmetry_space_group_name_Hall 'P 4 -2'
loop_
_atom_site_label
_atom_site_type_symbol
_atom_site_fract_x
_atom_site_fract_y
_atom_site_fract_z
Mn1 Mn 0.0000 0.0000 0.0000
Mn2 Mn 0.5000 0.5000 0.1952
Sb1 Sb 0.0000 0.0000 0.3758
Te1 Te 0.5000 0.5000 0.8279
# - ΔE_f (raw) (eV/atom) = 0.025
# - volume (A^3/atom) = 21.61

***

# MnSbTe | the Alexandria database | PBE | optimized geometry
data_MnSbTe
_cell_length_a 3.8262
_cell_length_b 3.8262
_cell_length_c 5.8310
_cell_angle_alpha 90.00
_cell_angle_beta 90.00
_cell_angle_gamma 120.00
_symmetry_space_group_name_H-M 'P 3 m 1'
_symmetry_Int_Tables_number 156
_symmetry_space_group_name_Hall 'P 3 -2"'
loop_
_atom_site_label
_atom_site_type_symbol
_atom_site_fract_x
_atom_site_fract_y
_atom_site_fract_z
Mn1 Mn 0.0000 0.0000 0.0000
Sb1 Sb 0.6667 0.3333 0.2625
Te1 Te 0.3333 0.6667 0.7440
# - polymorph energy (0 for the lowest one) (eV per formula unit) = 0.00
# - ΔE_f (raw) (eV/atom) = -0.031
# - volume (A^3/atom) = 24.64

***

# MnSbTe3 | the Alexandria database | PBE | optimized geometry
data_MnSbTe3
_cell_length_a 5.6824
_cell_length_b 5.6824
_cell_length_c 5.6824
_cell_angle_alpha 90.00
_cell_angle_beta 90.00
_cell_angle_gamma 90.00
_symmetry_space_group_name_H-M 'P m -3 m'
_symmetry_Int_Tables_number 221
_symmetry_space_group_name_Hall '-P 4 2 3'
loop_
_atom_site_label
_atom_site_type_symbol
_atom_site_fract_x
_atom_site_fract_y
_atom_site_fract_z
Mn1 Mn 0.0000 0.0000 0.0000
Sb1 Sb 0.5000 0.5000 0.5000
Te1 Te 0.0000 0.5000 0.5000
# - polymorph energy (0 for the lowest one) (eV per formula unit) = 4.11
# - ΔE_f (raw) (eV/atom) = 0.768
# - volume (A^3/atom) = 36.70